A crystal of CdSb2Te relaxed with PBEsol, computed with meta-GGA SCAN.

a b c (Å): 4.3125 4.3125 11.4182
angles (deg): 90.00 90.00 90.00
With the nearest neighbours (Å) after each atom.
Space group I4/mmm (No. 139)
Inequivalent atoms, fractional coordinates:
Cd1 0.0000 0.0000 0.0000 (multiplicity 2)  4 Te 3.05
Sb1 0.0000 0.5000 0.2500 (multiplicity 4)  4 Sb 3.05
Te1 0.0000 0.0000 0.5000 (multiplicity 2)  4 Cd 3.05

Calculated values
- formation energy from raw total energies (eV per atom) = 0.220
- size of the total moment (Bohr magnetons per cell) = 0.000
- total DFT energy (no corrections) (eV per atom) = -35.33
- N(E_F) (states/eV/f.u.) = 1.99